Entry from Alexandria via LeMat-Bulk: a relaxed AgHgSe2Br crystal (PBE).

extended XYZ file:
```
5
Lattice="-3.139 3.298 -2.343 -1.104 -3.829 -3.910 -3.917 -1.735 2.805" Properties=species:S:1:pos:R:3 pbc="T T T"
Br -4.080 -1.133 -1.724
Se -1.959 -0.867 1.403
Se -1.569 1.649 -1.172
Hg -0.552 -1.914 -1.955
Ag 0.000 0.000 0.000
```

Values from the calculation:
distance to the lowest polymorph of the same formula: 0.19 eV/f.u.
crystal system: tetragonal

Entry from Alexandria via LeMat-Bulk: a relaxed Ag2Sn2HgBr6 crystal (PBE).

extended XYZ file:
```
11
Lattice="7.297 1.628 0.784 5.123 8.912 0.122 -0.374 -4.946 7.072" Properties=species:S:1:pos:R:3 pbc="T T T"
Ag 4.546 2.984 5.470
Ag 7.500 2.611 2.508
Sn 7.791 -0.045 6.397
Sn 4.254 5.639 1.581
Hg 3.461 -1.659 3.928
Br 6.519 7.103 0.762
Br 2.197 2.447 0.859
Br 6.041 4.714 4.196
Br 9.849 3.148 7.119
Br 6.004 0.881 3.782
Br 5.527 -1.508 7.216
```

Values from the calculation:
crystal system: triclinic

Entry from Alexandria via LeMat-Bulk: a relaxed AgHg2Te2Br crystal (PBE).

extended XYZ file:
```
12
Lattice="-3.343 5.548 -3.893 1.137 -4.050 -6.748 -6.820 -1.146 4.224" Properties=species:S:1:pos:R:3 pbc="T T T"
Ag -0.108 -1.673 -7.036
Ag -2.589 3.986 -4.176
Hg -4.406 0.632 -7.181
Hg -6.352 1.959 -3.620
Hg -3.068 -0.954 -3.255
Hg -5.014 0.373 0.306
Te -1.710 -2.731 -4.973
Te -4.738 -1.953 -1.264
Te -6.807 2.237 -0.851
Te -3.779 1.460 -4.560
Br -1.350 0.454 -8.236
Br -0.419 0.317 -1.896
```

Values from the calculation:
crystal system: orthorhombic

Entry from Alexandria via LeMat-Bulk: a relaxed AgHgTeBr crystal (PBE).

extended XYZ file:
```
4
Lattice="-3.255 2.932 1.557 -0.910 -2.778 -3.616 -0.007 -6.246 4.796" Properties=species:S:1:pos:R:3 pbc="T T T"
Ag -1.134 -5.120 1.911
Hg -1.539 -3.269 -2.379
Te -2.055 -0.807 -1.152
Br -1.612 -2.575 3.069
```

Values from the calculation:
crystal system: monoclinic

Entry from Alexandria via LeMat-Bulk: a relaxed Tl2AgHgBr6 crystal (PBE).

extended XYZ file:
```
20
Lattice="-6.428 0.248 -6.023 -5.036 -1.375 5.318 -3.466 10.649 -0.528" Properties=species:S:1:pos:R:3 pbc="T T T"
Tl -6.144 1.742 4.998
Tl -8.647 7.858 -0.858
Tl -8.786 7.780 -6.230
Tl -6.282 1.664 -0.375
Ag -3.214 0.124 -3.012
Ag -4.251 4.637 2.395
Hg -4.947 5.449 -3.275
Hg -2.518 -0.688 2.659
Br -5.789 -0.367 2.232
Br -10.758 5.075 -1.020
Br -9.141 9.889 -3.465
Br -4.171 4.447 -0.213
Br -6.708 3.738 2.397
Br -11.703 9.174 -0.828
Br -8.221 5.784 -3.629
Br -3.227 0.348 -0.404
Br -8.998 1.966 -2.719
Br -9.965 6.498 2.615
Br -5.932 7.556 1.486
Br -4.964 3.024 -3.847
```

Values from the calculation:
crystal system: monoclinic

Entry from Alexandria via LeMat-Bulk: a relaxed TlAgHgBr2 crystal (PBE).

extended XYZ file:
```
5
Lattice="-4.178 -1.172 -3.516 3.096 -4.016 -2.339 -2.004 -3.638 3.595" Properties=species:S:1:pos:R:3 pbc="T T T"
Tl -1.543 -4.414 -1.130
Br 1.548 -2.008 -1.170
Br -2.089 -0.586 -1.758
Hg -1.002 -1.819 1.797
Ag 0.000 0.000 0.000
```

Values from the calculation:
crystal system: tetragonal

Entry from Alexandria via LeMat-Bulk: a relaxed TlAgHgBr4 crystal (PBE).

extended XYZ file:
```
14
Lattice="7.229 0.000 0.462 0.000 7.795 0.000 -2.291 0.000 8.462" Properties=species:S:1:pos:R:3 pbc="T T T"
Tl 3.458 5.846 8.320
Tl 1.479 1.949 0.605
Ag 4.339 5.846 3.073
Ag 0.599 1.949 5.852
Hg 0.747 5.846 3.038
Hg 4.190 1.949 5.887
Br -1.358 3.891 6.233
Br 6.295 7.789 2.691
Br 6.295 3.903 2.691
Br -1.358 0.006 6.233
Br 2.615 5.846 0.929
Br 2.322 1.949 7.996
Br 2.447 5.846 5.016
Br 2.490 1.949 3.908
```

Values from the calculation:
crystal system: monoclinic

Entry from Alexandria via LeMat-Bulk: a relaxed Tl3Ag3HgBr8 crystal (PBE).

extended XYZ file:
```
15
Lattice="8.515 0.000 0.000 -4.258 7.443 -0.006 0.000 -4.919 7.616" Properties=species:S:1:pos:R:3 pbc="T T T"
Tl 0.000 0.000 0.000
Tl -2.129 3.722 -0.003
Tl 2.129 3.722 -0.003
Ag 4.258 -2.459 3.808
Ag 2.129 1.262 3.805
Ag -2.129 1.262 3.805
Hg 0.000 -2.459 3.808
Br 0.000 2.474 2.231
Br 4.258 0.051 5.379
Br 4.258 2.521 2.259
Br 0.000 0.004 5.351
Br 6.410 -1.260 2.254
Br -2.152 3.784 5.357
Br 2.106 -1.260 2.254
Br 2.152 3.784 5.357
```

Values from the calculation:
crystal system: monoclinic

Entry from Alexandria via LeMat-Bulk: a relaxed TlAgHg2Br crystal (PBE).

extended XYZ file:
```
5
Lattice="-0.744 3.743 3.854 3.069 -2.898 3.407 4.661 2.799 -1.819" Properties=species:S:1:pos:R:3 pbc="T T T"
Tl 2.330 1.399 -0.909
Br 3.493 1.822 2.721
Hg 1.535 -1.449 1.703
Hg -0.372 1.872 1.927
Ag 0.000 0.000 0.000
```

Values from the calculation:
crystal system: tetragonal

Entry from Alexandria via LeMat-Bulk: a relaxed TlAgHgBr5 crystal (PBE).

extended XYZ file:
```
16
Lattice="8.161 -0.535 -0.045 -2.894 7.649 -0.045 -2.225 -3.005 9.386" Properties=species:S:1:pos:R:3 pbc="T T T"
Tl 0.010 4.336 2.302
Tl 3.032 -0.227 6.995
Ag -1.112 -1.502 4.693
Ag 0.000 0.000 0.000
Hg 3.912 1.448 2.302
Hg -0.869 2.662 6.995
Br -2.756 6.385 2.302
Br 5.799 -2.275 6.995
Br 5.994 1.685 0.724
Br -2.951 2.424 8.573
Br 4.293 -0.612 3.879
Br -1.250 4.722 5.417
Br 2.963 3.356 4.019
Br 0.080 0.754 5.278
Br 1.810 1.799 0.585
Br 1.232 2.311 8.712
```

Values from the calculation:
crystal system: monoclinic

| no. | VASP energy (hartree per atom) | ΔE_f (raw) (eV per atom) |
| --- | --- | --- |
| 1 | -0.0694 | 0.469 |
| 2 | -0.0989 | -0.505 |
| 3 | -0.0782 | -0.227 |
| 4 | -0.0823 | -0.247 |
| 5 | -0.0855 | -0.535 |
| 6 | -0.0785 | -0.362 |
| 7 | -0.0826 | -0.503 |
| 8 | -0.0918 | -0.542 |
| 9 | -0.0597 | -0.124 |
| 10 | -0.0802 | -0.446 |